Record 1
{"formula": "MgCd", "functional": "PBE-GGA", "state": "relaxed", "sg": "P2_1/m, No. 11", "dft_energy_ry_per_atom": -0.0945, "rho_g_cm3": 5.33, "lattice_angstrom": [[-7.841, -0.361, 2.084], [1.666, -6.052, 0.458], [1.265, 0.718, 4.883]], "species": ["Mg", "Mg", "Cd", "Mg", "Mg", "Cd", "Cd", "Cd", "Cd", "Mg", "Cd", "Mg"], "frac_coords": [[0.003, 0.503, 0.000], [0.000, 0.997, 0.000], [0.559, 0.393, 0.500], [0.663, 0.665, 0.000], [0.226, 0.057, 0.500], [0.212, 0.552, 0.500], [0.557, 0.886, 0.500], [0.330, 0.329, 0.000], [0.677, 0.170, 0.000], [0.886, 0.219, 0.500], [0.332, 0.837, 0.000], [0.889, 0.725, 0.500]]}

=====

Record 2
{"formula": "MgCd", "functional": "PBE-GGA", "state": "relaxed", "sg": "P6_3mc, No. 186", "dft_energy_ry_per_atom": -0.0565, "rho_g_cm3": 3.39, "lattice_angstrom": [[2.285, -3.958, 0.000], [2.285, 3.958, 0.000], [0.000, 0.000, 7.397]], "species": ["Mg", "Cd", "Mg", "Cd"], "frac_coords": [[0.333, 0.667, 0.876], [0.333, 0.667, 0.499], [0.000, 0.000, 0.376], [0.000, 0.000, 0.999]]}

=====

Record 3
{"formula": "Mg2Cd", "functional": "PBE-GGA", "state": "relaxed", "sg": "P-62m, No. 189", "dft_energy_ry_per_atom": -0.1025, "rho_g_cm3": 4.17, "lattice_angstrom": [[2.719, 4.710, 0.000], [-2.719, 4.710, 0.000], [0.000, 0.000, 5.011]], "species": ["Mg", "Mg", "Mg", "Cd", "Cd", "Mg"], "frac_coords": [[0.329, 0.667, 0.500], [0.004, 0.329, 0.500], [0.667, 0.004, 0.500], [0.333, 0.333, 0.000], [0.000, 0.000, 0.000], [0.667, 0.667, 0.000]]}